Ce2SmOs | Alexandria via LeMat-Bulk | GGA-PBE | relaxed; energy above the lowest structure with this stoichiometry = 0.61 eV per formula unit; formation enthalpy at 0 K = 0.021 eV/atom
1.0
1.9875 1.1475 8.7031
-1.9875 1.1475 8.7031
0.0000 -2.2950 8.7031
Ce Sm Os
2 1 1
direct
0.0000 0.0000 0.0000
0.2156 0.2156 0.2156
0.7732 0.7732 0.7732
0.6087 0.6087 0.6087


LiPa2ClO5 | Alexandria via LeMat-Bulk | GGA-PBE | relaxed; uncorrected energy = -8.05 eV per atom
1.0
6.5996 0.0000 0.0000
0.0000 6.5996 0.0000
0.0000 0.0000 6.4233
Li Pa Cl O
2 4 2 10
direct
0.0000 0.5000 0.0000
0.5000 0.0000 0.0000
0.1804 0.3196 0.5000
0.3196 0.8196 0.5000
0.6804 0.1804 0.5000
0.8196 0.6804 0.5000
0.0000 0.0000 0.0000
0.5000 0.5000 0.0000
0.0000 0.0000 0.5000
0.1337 0.6337 0.3082
0.1337 0.6337 0.6918
0.3663 0.1337 0.3082
0.3663 0.1337 0.6918
0.5000 0.5000 0.5000
0.6337 0.8663 0.3082
0.6337 0.8663 0.6918
0.8663 0.3663 0.3082
0.8663 0.3663 0.6918


PrZn4Au2 | Alexandria via LeMat-Bulk | GGA-PBE | relaxed; formation enthalpy at 0 K = -0.414 eV/atom
1.0
7.7497 0.0000 0.0000
0.0000 7.7497 0.0000
0.0000 0.0000 4.3973
Pr Zn Au
2 8 4
direct
0.0000 0.0000 0.0000
0.5000 0.5000 0.5000
0.0947 0.3519 0.5000
0.1481 0.5947 0.0000
0.3519 0.0947 0.5000
0.4053 0.8519 0.0000
0.5947 0.1481 0.0000
0.6481 0.9053 0.5000
0.8519 0.4053 0.0000
0.9053 0.6481 0.5000
0.2123 0.7877 0.5000
0.2877 0.2877 0.0000
0.7123 0.7123 0.0000
0.7877 0.2123 0.5000


Zr2CoIr | Alexandria via LeMat-Bulk | GGA-PBE | relaxed; formation enthalpy at 0 K = -0.013 eV/atom
1.0
1.8141 1.0474 7.1403
-1.8141 1.0474 7.1403
0.0000 -2.0947 7.1403
Zr Co Ir
2 1 1
direct
0.0000 0.0000 0.0000
0.1950 0.1950 0.1950
0.4631 0.4631 0.4631
0.7400 0.7400 0.7400


MnCrTe2 | Alexandria via LeMat-Bulk | GGA-PBE | relaxed; uncorrected energy = -6.30 eV per atom
1.0
4.0555 -1.8412 0.0000
4.0555 1.8412 0.0000
-2.5161 0.0000 7.1232
Mn Cr Te
1 1 2
direct
0.0000 0.0000 0.0000
0.7409 0.7409 0.0911
0.2168 0.2168 0.8106
0.5057 0.5057 0.2896


Sr2TlZnN | Alexandria via LeMat-Bulk | GGA-PBE | relaxed; energy above the lowest structure with this stoichiometry = 0.00 eV per formula unit
1.0
7.9478 0.0000 0.0000
0.0000 3.9482 0.0000
-3.9557 0.0000 8.4316
Sr Tl Zn N
4 2 2 2
direct
0.1887 0.2500 0.3723
0.1976 0.7500 0.0134
0.8024 0.2500 0.9866
0.8113 0.7500 0.6277
0.4230 0.7500 0.7307
0.5770 0.2500 0.2693
0.1677 0.2500 0.7272
0.8323 0.7500 0.2728
0.0114 0.7500 0.1785
0.9886 0.2500 0.8215


Cd4SbBr | Alexandria via LeMat-Bulk | GGA-PBE | relaxed; uncorrected energy = -1.53 eV per atom
1.0
0.0000 4.2429 4.2429
4.2429 0.0000 4.2429
4.2429 4.2429 0.0000
Cd Sb Br
4 1 1
direct
0.1251 0.1251 0.1251
0.1251 0.1251 0.6248
0.1251 0.6248 0.1251
0.6248 0.1251 0.1251
0.7500 0.7500 0.7500
0.5000 0.5000 0.5000


CeDyGaTc | Alexandria via LeMat-Bulk | GGA-PBE | relaxed; formation enthalpy at 0 K = -0.229 eV/atom
1.0
0.0000 3.5200 3.5200
3.5200 0.0000 3.5200
3.5200 3.5200 0.0000
Ce Dy Ga Tc
1 1 1 1
direct
0.0000 0.0000 0.0000
0.5000 0.5000 0.5000
0.2500 0.2500 0.2500
0.7500 0.7500 0.7500


ErNiSn | Alexandria via LeMat-Bulk | GGA-PBE | relaxed; formation enthalpy at 0 K = -0.382 eV/atom
1.0
-1.6533 1.6533 5.5144
1.6533 -1.6533 5.5144
1.6533 1.6533 -5.5144
Er Ni Sn
1 1 1
direct
0.0000 0.0000 0.0000
0.6593 0.6593 0.0000
0.2887 0.2887 0.0000


SiAsS2N | Alexandria via LeMat-Bulk | GGA-PBE | relaxed; energy above the lowest structure with this stoichiometry = 2.98 eV per formula unit
1.0
4.8519 0.0000 0.0000
0.0000 4.8519 0.0000
0.0000 0.0000 3.5919
Si As S N
1 1 2 1
direct
0.0000 0.0000 0.0000
0.5000 0.5000 0.5000
0.0000 0.5000 0.5000
0.5000 0.0000 0.5000
0.5000 0.5000 0.0000


DyLu3Ni | Alexandria via LeMat-Bulk | GGA-PBE | relaxed; formation enthalpy at 0 K = -0.086 eV/atom
1.0
5.1925 0.0000 0.0000
0.0000 5.1925 0.0000
0.0000 0.0000 5.1925
Dy Lu Ni
1 3 1
direct
0.0000 0.0000 0.0000
0.0000 0.5000 0.5000
0.5000 0.0000 0.5000
0.5000 0.5000 0.0000
0.5000 0.5000 0.5000


LaTbPr2Er5 | Alexandria via LeMat-Bulk | GGA-PBE | relaxed; formation enthalpy at 0 K = 0.249 eV/atom
1.0
-4.3244 4.3244 7.8674
4.3244 -4.3244 7.8674
4.3244 4.3244 -7.8674
La Tb Pr Er
2 2 4 10
direct
0.2500 0.7500 0.5000
0.7500 0.2500 0.5000
0.2500 0.2500 0.0000
0.7500 0.7500 0.0000
0.1190 0.6190 0.7379
0.3810 0.1190 0.5000
0.6190 0.8810 0.5000
0.8810 0.3810 0.2621
0.0000 0.0000 0.0000
0.0703 0.1519 0.5000
0.1519 0.6519 0.0816
0.3481 0.4297 0.5000
0.4297 0.9297 0.0816
0.5000 0.5000 0.0000
0.5703 0.0703 0.9184
0.6519 0.5703 0.5000
0.8481 0.3481 0.9184
0.9297 0.8481 0.5000


| no. | spin magnetization (μB/f.u.) |
| --- | --- |
| 1 | 0.00 |
| 2 | 0.00 |
| 3 | 0.00 |
| 4 | 0.00 |
| 5 | 0.98 |
| 6 | 0.00 |
| 7 | 0.00 |
| 8 | 0.00 |
| 9 | 0.00 |
| 10 | 0.00 |
| 11 | 0.00 |
| 12 | 0.00 |